No. 1
Material: Pm2Sm5Tm12
Method: DFT, PBE-GGA
State: optimized geometry

Results
The relative energy among the computed polymorphs comes out at 105 meV/atom. Its energy of formation from the pure elements is 0.13 eV per atom. Its symmetry is C2/m.

Unit cell a=9.0230 b=9.0230 c=8.5572 alpha=91.86 beta=91.86 gamma=61.65
Atoms (fractional coordinates):
Pm 0.1769 0.8231 0.0000
Pm 0.8231 0.1769 0.0000
Sm 0.2055 0.2055 0.0157
Sm 0.2694 0.2694 0.4274
Sm 0.5000 0.5000 0.5000
Sm 0.7306 0.7306 0.5726
Sm 0.7945 0.7945 0.9843
Tm 0.0565 0.0565 0.3332
Tm 0.0601 0.6818 0.3388
Tm 0.1719 0.5286 0.7579
Tm 0.3182 0.9399 0.6612
Tm 0.4220 0.4220 0.1243
Tm 0.4714 0.8281 0.2421
Tm 0.5286 0.1719 0.7579
Tm 0.5780 0.5780 0.8757
Tm 0.6818 0.0601 0.3388
Tm 0.8281 0.4714 0.2421
Tm 0.9399 0.3182 0.6612
Tm 0.9435 0.9435 0.6668

---

No. 2
Material: BaLa2BiMo
Method: DFT, PBE-GGA
State: optimized geometry

Results
Its energy of formation from the pure elements is 1.58 eV per atom. Its symmetry is P4/mmm.

Unit cell a=5.8872 b=5.8872 c=6.1384 alpha=90.00 beta=90.00 gamma=90.00
Atoms (fractional coordinates):
Ba 0.0000 0.0000 0.0000
La 0.0000 0.5000 0.0000
La 0.5000 0.0000 0.0000
Bi 0.0000 0.0000 0.5000
Mo 0.5000 0.5000 0.5000

---

No. 3
Material: RbY2Be
Method: DFT, PBE-GGA
State: optimized geometry

Results
Its energy of formation from the pure elements is 0.78 eV per atom. Its symmetry is I-42d.

Unit cell a=7.1137 b=7.1137 c=7.1137 alpha=104.50 beta=104.50 gamma=119.95
Atoms (fractional coordinates):
Rb 0.0000 0.0000 0.0000
Rb 0.7500 0.2500 0.5000
Y 0.2129 0.6250 0.0879
Y 0.3750 0.4629 0.5879
Y 0.5371 0.1250 0.9121
Y 0.8750 0.7871 0.4121
Be 0.2500 0.7500 0.5000
Be 0.5000 0.5000 0.0000

---

No. 4
Material: NbI2O2
Method: DFT, PBE-GGA
State: optimized geometry

Results
The relative energy among the computed polymorphs comes out at 0 meV/atom. The calculation puts the raw formation energy at -0.801 eV per atom. Its symmetry is P4/mmm.

Unit cell a=4.1651 b=4.1651 c=6.1163 alpha=90.00 beta=90.00 gamma=90.00
Atoms (fractional coordinates):
Nb 0.0000 0.0000 0.0000
I 0.0000 0.0000 0.5000
I 0.5000 0.5000 0.5000
O 0.0000 0.5000 0.0000
O 0.5000 0.0000 0.0000

---

No. 5
Material: Tb6YMg2
Method: DFT, PBE-GGA
State: optimized geometry

Results
Its energy of formation from the pure elements is 0.18 eV per atom. Its symmetry is R3.

Unit cell a=8.2204 b=8.2204 c=8.2204 alpha=47.72 beta=47.72 gamma=47.72
Atoms (fractional coordinates):
Tb 0.0040 0.5514 0.4445
Tb 0.3024 0.3868 0.8403
Tb 0.3868 0.8403 0.3024
Tb 0.4445 0.0040 0.5514
Tb 0.5514 0.4445 0.0040
Tb 0.8403 0.3024 0.3868
Y 0.7873 0.7873 0.7873
Mg 0.0595 0.0595 0.0595
Mg 0.9267 0.9267 0.9267

---

No. 6
Material: K3C5
Method: DFT, PBE-GGA
State: optimized geometry

Results
The relative energy among the computed polymorphs comes out at 89 meV/atom. Its energy of formation from the pure elements is 0.91 eV per atom. Its symmetry is Pm.

Unit cell a=8.0945 b=5.5966 c=8.6221 alpha=90.00 beta=117.55 gamma=90.00
Atoms (fractional coordinates):
K 0.0000 0.0000 0.0000
K 0.0296 0.5000 0.3174
K 0.3117 0.0000 0.7430
K 0.3790 0.5000 0.1338
K 0.5952 0.5000 0.6336
K 0.8237 0.0000 0.4778
C 0.0280 0.3584 0.7781
C 0.0280 0.6416 0.7781
C 0.1434 0.0000 0.3658
C 0.1743 0.5000 0.7474
C 0.3110 0.1417 0.3835
C 0.3110 0.8583 0.3835
C 0.4077 0.0000 0.2947
C 0.4840 0.0000 0.5108
C 0.9484 0.5000 0.6057
C 0.9856 0.5000 0.9055

---

No. 7
Material: YEr4Th
Method: DFT, PBE-GGA
State: optimized geometry

Results
The relative energy among the computed polymorphs comes out at 130 meV/atom. Its energy of formation from the pure elements is 0.16 eV per atom. Its symmetry is C2/c.

Unit cell a=8.4290 b=8.4290 c=6.5972 alpha=100.40 beta=100.40 gamma=117.75
Atoms (fractional coordinates):
Y 0.0875 0.9125 0.7500
Y 0.9125 0.0875 0.2500
Er 0.0723 0.3314 0.8775
Er 0.2143 0.6006 0.4670
Er 0.3314 0.0723 0.3775
Er 0.3994 0.7857 0.0330
Er 0.6006 0.2143 0.9670
Er 0.6686 0.9277 0.6225
Er 0.7857 0.3994 0.5330
Er 0.9277 0.6686 0.1225
Th 0.4998 0.5002 0.2500
Th 0.5002 0.4998 0.7500

---

No. 8
Material: Tm3Ni8Pd
Method: DFT, PBE-GGA
State: optimized geometry

Results
Its energy of formation from the pure elements is -0.47 eV per atom. Its symmetry is R3m.

Unit cell a=8.5844 b=8.5844 c=8.5844 alpha=33.54 beta=33.54 gamma=33.54
Atoms (fractional coordinates):
Tm 0.0000 0.0000 0.0000
Tm 0.1308 0.1308 0.1308
Tm 0.6122 0.6122 0.6122
Ni 0.0592 0.0592 0.5649
Ni 0.0592 0.5649 0.0592
Ni 0.0607 0.5608 0.5608
Ni 0.3108 0.3108 0.3108
Ni 0.5608 0.0607 0.5608
Ni 0.5608 0.5608 0.0607
Ni 0.5649 0.0592 0.0592
Ni 0.8103 0.8103 0.8103
Pd 0.4932 0.4932 0.4932

---

No. 9
Material: SrAcLa
Method: DFT, PBE-GGA
State: optimized geometry

Results
The relative energy among the computed polymorphs comes out at 0 meV/atom. Its energy of formation from the pure elements is 0.04 eV per atom. Its symmetry is P4/nmm.

Unit cell a=3.9678 b=3.9678 c=17.0384 alpha=90.00 beta=90.00 gamma=90.00
Atoms (fractional coordinates):
Sr 0.2500 0.2500 0.0956
Sr 0.7500 0.7500 0.9044
Ac 0.2500 0.2500 0.7247
Ac 0.7500 0.7500 0.2753
La 0.2500 0.2500 0.4262
La 0.7500 0.7500 0.5738

---

No. 10
Material: Be2FeCu
Method: DFT, PBE-GGA
State: optimized geometry

Results
Its energy of formation from the pure elements is -0.07 eV per atom. Its symmetry is Pm.

Unit cell a=2.4839 b=3.6013 c=4.4564 alpha=90.00 beta=105.85 gamma=90.00
Atoms (fractional coordinates):
Be 0.0000 0.0000 0.0000
Be 0.1394 0.5000 0.2884
Fe 0.4111 0.5000 0.8220
Cu 0.7318 0.0000 0.4711

---

No. 11
Material: EuEr2Ge
Method: DFT, PBE-GGA
State: optimized geometry

Results
Its energy of formation from the pure elements is -0.24 eV per atom. Its symmetry is R-3m.

Unit cell a=9.8303 b=9.8303 c=9.8303 alpha=23.66 beta=23.66 gamma=23.66
Atoms (fractional coordinates):
Eu 0.0000 0.0000 0.0000
Er 0.2220 0.2220 0.2220
Er 0.7780 0.7780 0.7780
Ge 0.5000 0.5000 0.5000

---

No. 12
Material: CaScTl
Method: DFT, PBE-GGA
State: optimized geometry

Results
The relative energy among the computed polymorphs comes out at 105 meV/atom. Its energy of formation from the pure elements is -0.18 eV per atom. Its symmetry is Pnma.

Unit cell a=8.4782 b=3.4609 c=11.3292 alpha=90.00 beta=90.00 gamma=90.00
Atoms (fractional coordinates):
Ca 0.1702 0.2500 0.0856
Ca 0.3298 0.7500 0.5856
Ca 0.6702 0.2500 0.4144
Ca 0.8298 0.7500 0.9144
Sc 0.0704 0.2500 0.3789
Sc 0.4296 0.7500 0.8789
Sc 0.5704 0.2500 0.1211
Sc 0.9296 0.7500 0.6211
Tl 0.1368 0.2500 0.7975
Tl 0.3632 0.7500 0.2975
Tl 0.6368 0.2500 0.7025
Tl 0.8632 0.7500 0.2025

---

For each record above, in turn, the calculated final energy values are -4.44 -3.72 -3.62 -5.42 -3.97 -5.27 -5.20 -5.88 -3.54 -5.07 -6.25 -3.75 eV per atom.